Entry from Alexandria: PrDy2HoIn4 after structural relaxation (PBE).

Summary:
For the formation energy, the calculation gives -0.46 eV per atom. The value obtained for the total DFT energy (no corrections) is -33.23 eV/cell. As for the space-group type: No. 166.

Unit cell a=9.3084 b=9.3084 c=9.3084 alpha=33.45 beta=33.45 gamma=33.45
Closest atoms and distances in Å follow each position.
Fractional coordinates of all 8 atoms:
1 Pr 0.0000 0.0000 0.0000  8 In 3.30-3.34
2 Dy 0.2494 0.2494 0.2494  8 In 3.23-3.36
3 Dy 0.7506 0.7506 0.7506  8 In 3.23-3.36
4 Ho 0.5000 0.5000 0.5000  8 In 3.24-3.27
5 In 0.1267 0.1267 0.1267  4 Dy 3.23-3.29, 3 Ho 3.27, 1 Pr 3.34
6 In 0.3769 0.3769 0.3769  1 Ho 3.24, 4 Dy 3.27-3.36, 3 Pr 3.30
7 In 0.6231 0.6231 0.6231  1 Ho 3.24, 4 Dy 3.27-3.36, 3 Pr 3.30
8 In 0.8733 0.8733 0.8733  4 Dy 3.23-3.29, 3 Ho 3.27, 1 Pr 3.34


Entry from Alexandria: Pr6Dy2Ho3In after structural relaxation (PBE).

Summary:
For the formation energy, the calculation gives -0.03 eV per atom. The value obtained for the total DFT energy (no corrections) is -54.74 eV/cell. As for the space-group type: No. 12.

Unit cell a=6.2395 b=6.2395 c=11.8535 alpha=95.08 beta=95.08 gamma=120.15
Closest atoms and distances in Å follow each position.
Fractional coordinates of all 12 atoms:
1 Pr 0.0825 0.4099 0.7483  6 Pr 3.53-3.64, 1 In 3.54, 2 Dy 3.58, 3 Ho 3.59-3.61
2 Pr 0.2442 0.2442 0.2504  6 Pr 3.53-3.64, 1 In 3.56, 3 Ho 3.58-3.61, 2 Dy 3.59
3 Pr 0.4099 0.0825 0.7483  6 Pr 3.53-3.64, 1 In 3.54, 2 Dy 3.58, 3 Ho 3.59-3.61
4 Pr 0.5901 0.9175 0.2517  6 Pr 3.53-3.64, 1 In 3.54, 2 Dy 3.58, 3 Ho 3.59-3.61
5 Pr 0.7558 0.7558 0.7496  6 Pr 3.53-3.64, 1 In 3.56, 3 Ho 3.58-3.61, 2 Dy 3.59
6 Pr 0.9175 0.5901 0.2517  6 Pr 3.53-3.64, 1 In 3.54, 2 Dy 3.58, 3 Ho 3.59-3.61
7 Dy 0.3336 0.6664 0.5000  6 Pr 3.58-3.59, 3 In 3.60-3.61, 3 Dy 3.60
8 Dy 0.6664 0.3336 0.5000  6 Pr 3.58-3.59, 3 In 3.60-3.61, 3 Dy 3.60
9 Ho 0.1677 0.8323 0.0000  6 Pr 3.58-3.61, 6 Ho 3.59-3.63
10 Ho 0.5000 0.5000 0.0000  6 Pr 3.59-3.61, 6 Ho 3.59-3.60
11 Ho 0.8323 0.1677 0.0000  6 Pr 3.58-3.61, 6 Ho 3.59-3.63
12 In 0.0000 0.0000 0.5000  6 Pr 3.54-3.56, 6 Dy 3.60-3.61


Entry from Alexandria: Pr3Dy2Ho6In after structural relaxation (PBE).

Summary:
For the formation energy, the calculation gives -0.04 eV per atom. The value obtained for the total DFT energy (no corrections) is -54.19 eV/cell. As for the space-group type: No. 12.

Unit cell a=6.1468 b=6.1468 c=11.6900 alpha=95.03 beta=95.03 gamma=120.00
Closest atoms and distances in Å follow each position.
Fractional coordinates of all 12 atoms:
1 Pr 0.0000 0.0000 0.0000  6 Pr 3.55, 6 Ho 3.60-3.62
2 Pr 0.3330 0.6670 0.0000  6 Pr 3.55-3.56, 6 Ho 3.59-3.62
3 Pr 0.6670 0.3330 0.0000  6 Pr 3.55-3.56, 6 Ho 3.59-3.62
4 Dy 0.1663 0.8337 0.5000  6 Ho 3.47, 3 Dy 3.54-3.55, 3 In 3.55
5 Dy 0.8337 0.1663 0.5000  6 Ho 3.47, 3 Dy 3.54-3.55, 3 In 3.55
6 Ho 0.0919 0.4196 0.2578  1 In 3.44, 2 Dy 3.47, 6 Ho 3.49-3.58, 3 Pr 3.59-3.62
7 Ho 0.2530 0.2530 0.7429  1 In 3.45, 2 Dy 3.47, 6 Ho 3.49-3.58, 3 Pr 3.59-3.62
8 Ho 0.4196 0.0919 0.2578  1 In 3.44, 2 Dy 3.47, 6 Ho 3.49-3.58, 3 Pr 3.59-3.62
9 Ho 0.5804 0.9081 0.7422  1 In 3.44, 2 Dy 3.47, 6 Ho 3.49-3.58, 3 Pr 3.59-3.62
10 Ho 0.7470 0.7470 0.2571  1 In 3.45, 2 Dy 3.47, 6 Ho 3.49-3.58, 3 Pr 3.59-3.62
11 Ho 0.9081 0.5804 0.7422  1 In 3.44, 2 Dy 3.47, 6 Ho 3.49-3.58, 3 Pr 3.59-3.62
12 In 0.5000 0.5000 0.5000  6 Ho 3.44-3.45, 6 Dy 3.55


Entry from Alexandria: Pr2Dy2Ho2In after structural relaxation (PBE).

Summary:
For the formation energy, the calculation gives -0.02 eV per atom. The value obtained for the total DFT energy (no corrections) is -30.80 eV/cell. As for the space-group type: No. 12.

Unit cell a=6.1431 b=6.1431 c=11.6827 alpha=111.68 beta=111.68 gamma=33.42
Closest atoms and distances in Å follow each position.
Fractional coordinates of all 7 atoms:
1 Pr 0.0321 0.0321 0.2574  2 In 3.38, 3 Ho 3.41-3.55, 2 Pr 3.53, 4 Dy 3.53-3.68
2 Pr 0.9679 0.9679 0.7426  2 In 3.38, 3 Ho 3.41-3.55, 2 Pr 3.53, 4 Dy 3.53-3.68
3 Dy 0.1741 0.1741 0.5847  5 Dy 3.53-3.80, 4 Pr 3.53-3.68, 2 Ho 3.56
4 Dy 0.8259 0.8259 0.4153  5 Dy 3.53-3.80, 4 Pr 3.53-3.68, 2 Ho 3.56
5 Ho 0.2494 0.2494 0.1311  2 In 3.26, 3 Pr 3.41-3.55, 4 Ho 3.53-3.54, 2 Dy 3.56
6 Ho 0.7506 0.7506 0.8689  2 In 3.26, 3 Pr 3.41-3.55, 4 Ho 3.53-3.54, 2 Dy 3.56
7 In 0.5000 0.5000 0.0000  4 Ho 3.26, 4 Pr 3.38, 2 In 3.53


Entry from Alexandria: Pr6Dy3Ho2In after structural relaxation (PBE).

Summary:
For the formation energy, the calculation gives -0.03 eV per atom. The value obtained for the total DFT energy (no corrections) is -54.73 eV/cell. As for the space-group type: No. 12.

Unit cell a=6.2486 b=6.2486 c=11.8509 alpha=95.10 beta=95.10 gamma=120.16
Closest atoms and distances in Å follow each position.
Fractional coordinates of all 12 atoms:
1 Pr 0.0818 0.4093 0.7472  1 In 3.53, 6 Pr 3.54-3.64, 2 Ho 3.57, 3 Dy 3.60-3.62
2 Pr 0.2450 0.2450 0.2513  6 Pr 3.54-3.64, 1 In 3.55, 2 Ho 3.58, 3 Dy 3.59-3.62
3 Pr 0.4093 0.0818 0.7472  1 In 3.53, 6 Pr 3.54-3.64, 2 Ho 3.57, 3 Dy 3.60-3.62
4 Pr 0.5907 0.9182 0.2528  1 In 3.53, 6 Pr 3.54-3.64, 2 Ho 3.57, 3 Dy 3.60-3.62
5 Pr 0.7550 0.7550 0.7487  6 Pr 3.54-3.64, 1 In 3.55, 2 Ho 3.58, 3 Dy 3.59-3.62
6 Pr 0.9182 0.5907 0.2528  1 In 3.53, 6 Pr 3.54-3.64, 2 Ho 3.57, 3 Dy 3.60-3.62
7 Dy 0.1679 0.8321 0.0000  6 Dy 3.59-3.64, 6 Pr 3.59-3.62
8 Dy 0.5000 0.5000 0.0000  6 Pr 3.60-3.62, 6 Dy 3.60-3.61
9 Dy 0.8321 0.1679 0.0000  6 Dy 3.59-3.64, 6 Pr 3.59-3.62
10 Ho 0.3337 0.6663 0.5000  6 Pr 3.57-3.58, 3 In 3.60-3.61, 3 Ho 3.60-3.61
11 Ho 0.6663 0.3337 0.5000  6 Pr 3.57-3.58, 3 In 3.60-3.61, 3 Ho 3.60-3.61
12 In 0.0000 0.0000 0.5000  6 Pr 3.53-3.55, 6 Ho 3.60-3.61


Entry from Alexandria: Pr2Dy3Ho6In after structural relaxation (PBE).

Summary:
For the formation energy, the calculation gives -0.06 eV per atom. The value obtained for the total DFT energy (no corrections) is -54.26 eV/cell. As for the space-group type: No. 12.

Unit cell a=6.0929 b=6.0929 c=11.7232 alpha=94.99 beta=94.99 gamma=120.02
Closest atoms and distances in Å follow each position.
Fractional coordinates of all 12 atoms:
1 Pr 0.1663 0.8337 0.0000  3 Pr 3.51-3.52, 3 In 3.51-3.52, 6 Ho 3.54-3.55
2 Pr 0.8337 0.1663 0.0000  3 Pr 3.51-3.52, 3 In 3.51-3.52, 6 Ho 3.54-3.55
3 Dy 0.0000 0.0000 0.5000  6 Ho 3.52-3.54, 6 Dy 3.52
4 Dy 0.3332 0.6668 0.5000  6 Ho 3.51-3.55, 6 Dy 3.52
5 Dy 0.6668 0.3332 0.5000  6 Ho 3.51-3.55, 6 Dy 3.52
6 Ho 0.0900 0.4171 0.7496  6 Ho 3.45-3.55, 1 In 3.51, 3 Dy 3.51-3.55, 2 Pr 3.54-3.55
7 Ho 0.2561 0.2561 0.2514  6 Ho 3.45-3.55, 3 Dy 3.51-3.54, 1 In 3.52, 2 Pr 3.55
8 Ho 0.4171 0.0900 0.7496  6 Ho 3.45-3.55, 1 In 3.51, 3 Dy 3.51-3.55, 2 Pr 3.54-3.55
9 Ho 0.5829 0.9100 0.2504  6 Ho 3.45-3.55, 1 In 3.51, 3 Dy 3.51-3.55, 2 Pr 3.54-3.55
10 Ho 0.7439 0.7439 0.7486  6 Ho 3.45-3.55, 3 Dy 3.51-3.54, 1 In 3.52, 2 Pr 3.55
11 Ho 0.9100 0.5829 0.2504  6 Ho 3.45-3.55, 1 In 3.51, 3 Dy 3.51-3.55, 2 Pr 3.54-3.55
12 In 0.5000 0.5000 0.0000  6 Ho 3.51-3.52, 6 Pr 3.51-3.52


Entry from Alexandria: Pr2Dy6Ho3In after structural relaxation (PBE).

Summary:
For the formation energy, the calculation gives -0.06 eV per atom. The value obtained for the total DFT energy (no corrections) is -54.32 eV/cell. As for the space-group type: No. 12.

Unit cell a=6.1020 b=6.1020 c=11.7396 alpha=94.97 beta=94.97 gamma=120.02
Closest atoms and distances in Å follow each position.
Fractional coordinates of all 12 atoms:
1 Pr 0.1665 0.8335 0.0000  3 Pr 3.52, 3 In 3.52-3.53, 6 Dy 3.56
2 Pr 0.8335 0.1665 0.0000  3 Pr 3.52, 3 In 3.52-3.53, 6 Dy 3.56
3 Dy 0.0894 0.4165 0.7488  6 Dy 3.45-3.56, 3 Ho 3.51-3.55, 1 In 3.52, 2 Pr 3.56
4 Dy 0.2570 0.2570 0.2519  6 Dy 3.45-3.56, 3 Ho 3.51-3.54, 1 In 3.53, 2 Pr 3.56
5 Dy 0.4165 0.0894 0.7488  6 Dy 3.45-3.56, 3 Ho 3.51-3.55, 1 In 3.52, 2 Pr 3.56
6 Dy 0.5835 0.9106 0.2512  6 Dy 3.45-3.56, 3 Ho 3.51-3.55, 1 In 3.52, 2 Pr 3.56
7 Dy 0.7430 0.7430 0.7481  6 Dy 3.45-3.56, 3 Ho 3.51-3.54, 1 In 3.53, 2 Pr 3.56
8 Dy 0.9106 0.5835 0.2512  6 Dy 3.45-3.56, 3 Ho 3.51-3.55, 1 In 3.52, 2 Pr 3.56
9 Ho 0.0000 0.0000 0.5000  6 Dy 3.51-3.54, 6 Ho 3.52
10 Ho 0.3333 0.6667 0.5000  6 Dy 3.51-3.55, 6 Ho 3.52
11 Ho 0.6667 0.3333 0.5000  6 Dy 3.51-3.55, 6 Ho 3.52
12 In 0.5000 0.5000 0.0000  6 Pr 3.52-3.53, 6 Dy 3.52-3.53


Entry from Alexandria: DyHoInPt after structural relaxation (PBE).

Summary:
For the formation energy, the calculation gives -0.76 eV per atom. The value obtained for the total DFT energy (no corrections) is -20.98 eV/cell. As for the space-group type: No. 216.

Unit cell a=5.1173 b=5.1173 c=5.1173 alpha=60.00 beta=60.00 gamma=60.00
Closest atoms and distances in Å follow each position.
Fractional coordinates of all 4 atoms:
1 Dy 0.0000 0.0000 0.0000  4 Pt 3.13, 4 In 3.13
2 Ho 0.5000 0.5000 0.5000  4 In 3.13, 4 Pt 3.13
3 In 0.2500 0.2500 0.2500  4 Dy 3.13, 4 Ho 3.13
4 Pt 0.7500 0.7500 0.7500  4 Dy 3.13, 4 Ho 3.13